--- one ---
# Tc2Os2O5, relaxed, DFT PBE-GGA
# Theoretical density = 11.88 g cm⁻³
# Space-group type = P4/mmm
data_Tc2Os2O5
_chemical_formula_sum 'Tc2 Os2 O5'
_cell_length_a 8.3180
_cell_length_b 3.3211
_cell_length_c 3.3211
_cell_angle_alpha 90.00
_cell_angle_beta 90.00
_cell_angle_gamma 90.00
_symmetry_space_group_name_H-M 'P 1'
_symmetry_Int_Tables_number 1
loop_
_symmetry_equiv_pos_as_xyz
'x,y,z'
loop_
_atom_site_label
_atom_site_fract_x
_atom_site_fract_y
_atom_site_fract_z
Os1 0.8373 0.5000 0.5000
Tc1 0.5000 0.0000 0.0000
O1 0.5000 0.5000 0.5000
O2 0.6906 0.0000 0.5000
O3 0.3094 0.5000 0.0000
O4 0.6906 0.5000 0.0000
Tc2 0.0000 0.0000 0.0000
O5 0.3094 0.0000 0.5000
Os2 0.1627 0.5000 0.5000

---

--- two ---
# Tc2Os2O5, relaxed, DFT PBE-GGA
# Theoretical density = 11.90 g cm⁻³
# Space-group type = P4/mmm
data_Tc2Os2O5
_chemical_formula_sum 'Tc2 Os2 O5'
_cell_length_a 8.5356
_cell_length_b 3.2754
_cell_length_c 3.2754
_cell_angle_alpha 90.00
_cell_angle_beta 90.00
_cell_angle_gamma 90.00
_symmetry_space_group_name_H-M 'P 1'
_symmetry_Int_Tables_number 1
loop_
_symmetry_equiv_pos_as_xyz
'x,y,z'
loop_
_atom_site_label
_atom_site_fract_x
_atom_site_fract_y
_atom_site_fract_z
O1 0.3103 0.5000 0.0000
Tc1 0.8307 0.5000 0.5000
Os1 0.0000 0.0000 0.0000
Os2 0.5000 0.0000 0.0000
O2 0.6897 0.5000 0.0000
O3 0.6897 0.0000 0.5000
O4 0.5000 0.5000 0.5000
Tc2 0.1693 0.5000 0.5000
O5 0.3103 0.0000 0.5000

---

Verdict on stability: two comes out at the bottom.

---

--- one ---
# TlTeOsO, relaxed, DFT PBE-GGA
# Theoretical density = 9.79 g cm⁻³
# Space-group type = Pmc2_1
data_TlTeOsO
_chemical_formula_sum 'Tl2 Te2 Os2 O2'
_cell_length_a 3.9429
_cell_length_b 8.1026
_cell_length_c 5.7142
_cell_angle_alpha 90.00
_cell_angle_beta 90.00
_cell_angle_gamma 90.00
_symmetry_space_group_name_H-M 'P 1'
_symmetry_Int_Tables_number 1
loop_
_symmetry_equiv_pos_as_xyz
'x,y,z'
loop_
_atom_site_label
_atom_site_fract_x
_atom_site_fract_y
_atom_site_fract_z
Te1 0.0000 0.8464 0.1854
Os1 0.5000 0.0002 0.4364
O1 0.5000 0.1797 0.1860
Te2 0.0000 0.1536 0.6854
Tl1 0.0000 0.6271 0.6832
O2 0.5000 0.8203 0.6861
Tl2 0.0000 0.3729 0.1832
Os2 0.5000 0.9998 0.9364

---

--- two ---
# TlTeOsO, relaxed, DFT PBE-GGA
# Theoretical density = 10.77 g cm⁻³
# Space-group type = P4/nmm
data_TlTeOsO
_chemical_formula_sum 'Tl2 Te2 Os2 O2'
_cell_length_a 4.1787
_cell_length_b 4.1787
_cell_length_c 9.5062
_cell_angle_alpha 90.00
_cell_angle_beta 90.00
_cell_angle_gamma 90.00
_symmetry_space_group_name_H-M 'P 1'
_symmetry_Int_Tables_number 1
loop_
_symmetry_equiv_pos_as_xyz
'x,y,z'
loop_
_atom_site_label
_atom_site_fract_x
_atom_site_fract_y
_atom_site_fract_z
Te1 0.5000 0.5000 0.2125
Os1 0.0000 0.0000 0.0646
Os2 0.5000 0.5000 0.9354
Tl1 0.5000 0.0000 0.5000
O1 0.5000 0.0000 0.0000
Tl2 0.0000 0.5000 0.5000
Te2 0.0000 0.0000 0.7875
O2 0.0000 0.5000 0.0000

---

Verdict on stability: two comes out at the bottom.

---

--- one ---
# Tl2Os2O5, relaxed, DFT PBE-GGA
# Theoretical density = 12.11 g cm⁻³
# Space-group type = P4/mmm
data_Tl2Os2O5
_chemical_formula_sum 'Tl2 Os2 O5'
_cell_length_a 10.1521
_cell_length_b 3.4270
_cell_length_c 3.4270
_cell_angle_alpha 90.00
_cell_angle_beta 90.00
_cell_angle_gamma 90.00
_symmetry_space_group_name_H-M 'P 1'
_symmetry_Int_Tables_number 1
loop_
_symmetry_equiv_pos_as_xyz
'x,y,z'
loop_
_atom_site_label
_atom_site_fract_x
_atom_site_fract_y
_atom_site_fract_z
O1 0.8883 0.5000 0.0000
O2 0.8883 0.0000 0.5000
Os1 0.0000 0.0000 0.0000
Tl1 0.7314 0.5000 0.5000
Os2 0.5000 0.0000 0.0000
O3 0.5000 0.5000 0.5000
O4 0.1117 0.5000 0.0000
O5 0.1117 0.0000 0.5000
Tl2 0.2686 0.5000 0.5000

---

--- two ---
# Tl2Os2O5, relaxed, DFT PBE-GGA
# Theoretical density = 10.94 g cm⁻³
# Space-group type = P4/mmm
data_Tl2Os2O5
_chemical_formula_sum 'Tl2 Os2 O5'
_cell_length_a 9.0685
_cell_length_b 3.8151
_cell_length_c 3.8151
_cell_angle_alpha 90.00
_cell_angle_beta 90.00
_cell_angle_gamma 90.00
_symmetry_space_group_name_H-M 'P 1'
_symmetry_Int_Tables_number 1
loop_
_symmetry_equiv_pos_as_xyz
'x,y,z'
loop_
_atom_site_label
_atom_site_fract_x
_atom_site_fract_y
_atom_site_fract_z
O1 0.7502 0.0000 0.5000
O2 0.2498 0.5000 0.0000
Os1 0.2570 0.5000 0.5000
Tl1 0.5000 0.0000 0.0000
O3 0.7502 0.5000 0.0000
Os2 0.7430 0.5000 0.5000
O4 0.2498 0.0000 0.5000
Tl2 0.0000 0.0000 0.0000
O5 0.5000 0.5000 0.5000

---

Verdict on stability: one comes out at the bottom.

---

--- one ---
# Y2Os2O5, relaxed, DFT PBE-GGA
# Theoretical density = 9.01 g cm⁻³
# Space-group type = P4/mmm
data_Y2Os2O5
_chemical_formula_sum 'Y2 Os2 O5'
_cell_length_a 9.3709
_cell_length_b 3.5422
_cell_length_c 3.5422
_cell_angle_alpha 90.00
_cell_angle_beta 90.00
_cell_angle_gamma 90.00
_symmetry_space_group_name_H-M 'P 1'
_symmetry_Int_Tables_number 1
loop_
_symmetry_equiv_pos_as_xyz
'x,y,z'
loop_
_atom_site_label
_atom_site_fract_x
_atom_site_fract_y
_atom_site_fract_z
O1 0.5000 0.5000 0.5000
Os1 0.5000 0.0000 0.0000
Y1 0.7356 0.5000 0.5000
O2 0.1240 0.5000 0.0000
O3 0.8760 0.5000 0.0000
O4 0.1240 0.0000 0.5000
Y2 0.2644 0.5000 0.5000
O5 0.8760 0.0000 0.5000
Os2 0.0000 0.0000 0.0000

---

--- two ---
# Y2Os2O5, relaxed, DFT PBE-GGA
# Theoretical density = 9.88 g cm⁻³
# Space-group type = P4/mmm
data_Y2Os2O5
_chemical_formula_sum 'Y2 Os2 O5'
_cell_length_a 6.9324
_cell_length_b 3.9329
_cell_length_c 3.9329
_cell_angle_alpha 90.00
_cell_angle_beta 90.00
_cell_angle_gamma 90.00
_symmetry_space_group_name_H-M 'P 1'
_symmetry_Int_Tables_number 1
loop_
_symmetry_equiv_pos_as_xyz
'x,y,z'
loop_
_atom_site_label
_atom_site_fract_x
_atom_site_fract_y
_atom_site_fract_z
Y1 0.0000 0.0000 0.0000
O1 0.5000 0.5000 0.5000
Y2 0.5000 0.0000 0.0000
Os1 0.1877 0.5000 0.5000
O2 0.2403 0.5000 0.0000
O3 0.2403 0.0000 0.5000
O4 0.7597 0.0000 0.5000
Os2 0.8123 0.5000 0.5000
O5 0.7597 0.5000 0.0000

---

Verdict on stability: one comes out at the bottom.